A relaxed structure of DyReSi2Os, computed with PBE.

Results
As for the formation energy (no corrections): -0.57 eV/atom. As for the final energy: -8.398 eV per atom.

a = 4.140 Å, b = 4.140 Å, c = 9.935 Å
α = 90.00°, β = 90.00°, γ = 90.00°
Space group I-4m2 (No. 119)
One atom of each set of equivalent atoms:
Dy1 0.000 0.000 0.000 x2
Re1 0.000 0.500 0.750 x2
Si1 0.000 0.000 0.377 x4
Os1 0.000 0.500 0.250 x2

=====

A relaxed structure of Dy8Os2Rh, computed with PBE.

Results
As for the final energy: -6.319 eV per atom. As for the energy relative to the elements: -0.262 eV per atom.

a = 8.392 Å, b = 12.580 Å, c = 5.771 Å
α = 90.00°, β = 108.74°, γ = 90.00°
Space group Cm (No. 8)
One atom of each set of equivalent atoms:
Dy1 0.000 0.000 0.000 x2
Dy2 0.069 0.370 0.797 x4
Dy3 0.159 0.130 0.598 x4
Dy4 0.225 0.500 0.388 x2
Dy5 0.365 0.215 0.196 x4
Os1 0.362 0.310 0.693 x4
Rh1 0.363 0.000 0.150 x2

=====

A relaxed structure of Dy8OsRh2, computed with PBE.

Results
As for the final energy: -6.047 eV per atom. As for the energy relative to the elements: -0.342 eV per atom.

a = 8.221 Å, b = 12.646 Å, c = 6.003 Å
α = 90.00°, β = 110.15°, γ = 90.00°
Space group Cm (No. 8)
One atom of each set of equivalent atoms:
Dy1 0.000 0.000 0.000 x2
Dy2 0.059 0.372 0.785 x4
Dy3 0.143 0.128 0.591 x4
Dy4 0.208 0.500 0.359 x2
Dy5 0.357 0.210 0.179 x4
Os1 0.356 0.000 0.016 x2
Rh1 0.349 0.311 0.682 x4

=====

A relaxed structure of DySi3OsRh, computed with PBE.

Results
As for the formation energy (no corrections): -0.45 eV/atom. As for the final energy: -7.023 eV per atom.

a = 6.158 Å, b = 13.826 Å, c = 5.468 Å
α = 90.00°, β = 90.00°, γ = 90.00°
Space group Cmcm (No. 63)
One atom of each set of equivalent atoms:
Dy1 0.000 0.181 0.250 x4
Si1 0.000 0.232 0.750 x4
Si2 0.213 0.500 0.000 x8
Os1 0.000 0.069 0.750 x4
Rh1 0.000 0.394 0.750 x4

=====

A relaxed structure of DyThOsRh, computed with PBE.

Results
As for the final energy: -8.176 eV per atom. As for the energy relative to the elements: -0.525 eV per atom.

a = 6.996 Å, b = 6.996 Å, c = 6.996 Å
α = 90.00°, β = 90.00°, γ = 90.00°
Space group F-43m (No. 216)
One atom of each set of equivalent atoms:
Dy1 0.000 0.000 0.000 x4
Th1 0.000 0.000 0.500 x4
Os1 0.250 0.250 0.250 x4
Rh1 0.250 0.250 0.750 x4

=====

A relaxed structure of DyTmOsRh, computed with PBE.

Results
As for the final energy: -7.441 eV per atom. As for the energy relative to the elements: -0.527 eV per atom.

a = 6.784 Å, b = 6.784 Å, c = 6.784 Å
α = 90.00°, β = 90.00°, γ = 90.00°
Space group F-43m (No. 216)
One atom of each set of equivalent atoms:
Dy1 0.000 0.000 0.000 x4
Tm1 0.000 0.000 0.500 x4
Os1 0.250 0.250 0.250 x4
Rh1 0.250 0.250 0.750 x4